This record from OQMD via LeMat-Bulk describes AgIO2F2 after structural relaxation. The functional is PBE-GGA.

The calculation puts the total energy at -3.798 eV per atom.

The space group is Cmcm (No. 63) and the conventional cell measures 7.153, 6.966 and 7.203 Å, with angles of 90.00, 90.00 and 90.00 degrees. Symmetry generates all atoms from Ag at (0.000, 0.000, 0.000), I at (0.000, 0.479, 0.250), O at (0.000, 0.312, 0.055) and F at (0.219, 0.038, 0.750).